(1)
Pr12Ho5Pu: optimized geometry, PBE.

Summary:
DFT formation energy: 0.113 eV/atom
magnetic moment: 0.3431 μB/atom

abc: 11.3173 18.1355 6.0179
angles: 90.00 90.02 90.00
Space group C2/m (No. 12)
Symmetry-distinct sites (fractional):
Pr 0.1564 0.0000 0.4988 [4 per cell]
Pr 0.1589 0.1656 0.0004 [8 per cell]
Pr 0.1606 0.3332 0.4996 [8 per cell]
Pr 0.1622 0.5000 0.0010 [4 per cell]
Ho 0.0000 0.1677 0.5000 [4 per cell]
Ho 0.0000 0.3339 0.0000 [4 per cell]
Ho 0.0000 0.5000 0.5000 [2 per cell]
Pu 0.0000 0.0000 0.0000 [2 per cell]


(2)
Cu2AuCI: optimized geometry, PBE.

Summary:
calculated total energy: -0.123 hartree per atom
magnetic moment: 0.0000 μB/atom

abc: 5.1072 5.1072 3.8395
angles: 90.00 90.00 90.00
Space group P4/mmm (No. 123)
Symmetry-distinct sites (fractional):
Cu 0.0000 0.5000 0.0000 [2 per cell]
Au 0.0000 0.0000 0.0000 [1 per cell]
C 0.0000 0.0000 0.5000 [1 per cell]
I 0.5000 0.5000 0.5000 [1 per cell]


(3)
VBiCl2: optimized geometry, PBE.

Summary:
ΔE to the lowest computed polymorph: 0 meV/atom
magnetic moment: 0.8143 μB/atom

abc: 3.5028 3.5028 35.1619
angles: 90.00 90.00 120.00
Space group R-3m (No. 166, hexagonal axes)
Symmetry-distinct sites (fractional):
V 0.0000 0.0000 0.0000 [3 per cell]
Bi 0.0000 0.0000 0.5000 [3 per cell]
Cl 0.0000 0.0000 0.3734 [6 per cell]


(4)
LiTm6Pt5: optimized geometry, PBE.

Summary:
DFT formation energy: -1.118 eV/atom
magnetic moment: 0.0000 μB/atom

abc: 4.8474 6.9691 14.7238
angles: 90.00 90.00 90.00
Space group Immm (No. 71)
Symmetry-distinct sites (fractional):
Li 0.0000 0.0000 0.0000 [2 per cell]
Tm 0.0000 0.2388 0.5000 [4 per cell]
Tm 0.0000 0.2558 0.1695 [8 per cell]
Pt 0.0000 0.0000 0.3252 [4 per cell]
Pt 0.0000 0.5000 0.0000 [2 per cell]
Pt 0.0000 0.5000 0.3482 [4 per cell]


(5)
MgScPt6: optimized geometry, PBE.

Summary:
DFT formation energy: -0.833 eV/atom
magnetic moment: 0.0000 μB/atom

abc: 3.9871 3.9871 7.9506
angles: 90.00 90.00 90.00
Space group P4/mmm (No. 123)
Symmetry-distinct sites (fractional):
Mg 0.0000 0.0000 0.0000 [1 per cell]
Sc 0.0000 0.0000 0.5000 [1 per cell]
Pt 0.0000 0.5000 0.2475 [4 per cell]
Pt 0.5000 0.5000 0.0000 [1 per cell]
Pt 0.5000 0.5000 0.5000 [1 per cell]


(6)
MgPdC2: optimized geometry, PBE.

Summary:
DFT formation energy: 1.275 eV/atom
magnetic moment: 0.0000 μB/atom

abc: 4.9061 4.9061 9.4633
angles: 90.00 90.00 90.00
Space group I-42d (No. 122)
Symmetry-distinct sites (fractional):
Mg 0.0000 0.0000 0.0000 [4 per cell]
Pd 0.0000 0.0000 0.5000 [4 per cell]
C 0.2064 0.2500 0.6250 [8 per cell]


(7)
Sc7In2Au2: optimized geometry, PBE.

Summary:
DFT formation energy: -0.241 eV/atom
magnetic moment: 0.0000 μB/atom

abc: 7.8229 10.4698 6.7564
angles: 90.00 90.00 90.00
Space group Cmmm (No. 65)
Symmetry-distinct sites (fractional):
Sc 0.0000 0.0000 0.0000 [2 per cell]
Sc 0.0000 0.5000 0.2512 [4 per cell]
Sc 0.2500 0.2500 0.2637 [8 per cell]
In 0.1808 0.0000 0.5000 [4 per cell]
Au 0.0000 0.2890 0.0000 [4 per cell]


(8)
LaY2HgOs: optimized geometry, PBE.

Summary:
DFT formation energy: -0.106 eV/atom
magnetic moment: 0.0000 μB/atom

abc: 5.4188 5.4188 5.5159
angles: 90.00 90.00 90.00
Space group P4/mmm (No. 123)
Symmetry-distinct sites (fractional):
La 0.0000 0.0000 0.0000 [1 per cell]
Y 0.0000 0.5000 0.5000 [2 per cell]
Hg 0.5000 0.5000 0.0000 [1 per cell]
Os 0.0000 0.0000 0.5000 [1 per cell]


(9)
Te3PtS: optimized geometry, PBE.

Summary:
ΔE to the lowest computed polymorph: 293 meV/atom
magnetic moment: 0.0000 μB/atom

abc: 5.1384 5.1384 5.1384
angles: 90.00 90.00 90.00
Space group Pm-3m (No. 221)
Symmetry-distinct sites (fractional):
Te 0.0000 0.0000 0.5000 [3 per cell]
Pt 0.5000 0.5000 0.5000 [1 per cell]
S 0.0000 0.0000 0.0000 [1 per cell]


(10)
BePd: optimized geometry, PBE.

Summary:
DFT formation energy: 0.273 eV/atom
magnetic moment: 0.0000 μB/atom

abc: 4.9928 4.9928 4.9928
angles: 90.00 90.00 90.00
Space group F-43m (No. 216)
Symmetry-distinct sites (fractional):
Be 0.0000 0.0000 0.0000 [4 per cell]
Pd 0.2500 0.2500 0.7500 [4 per cell]


(11)
MgGeIrO6: optimized geometry, PBE.

Summary:
calculated total energy: -0.234 hartree per atom
magnetic moment: 0.1103 μB/atom

abc: 5.0546 5.0546 8.9430
angles: 90.00 90.00 120.00
Space group P-31c (No. 163)
Symmetry-distinct sites (fractional):
Mg 0.0000 0.0000 0.0000 [2 per cell]
Ge 0.3333 0.6667 0.2500 [2 per cell]
Ir 0.3333 0.6667 0.7500 [2 per cell]
O 0.0047 0.3540 0.1349 [12 per cell]


(12)
PaInRuPt: optimized geometry, PBE.

Summary:
DFT formation energy: -0.475 eV/atom
magnetic moment: 0.0000 μB/atom

abc: 6.7930 6.7930 6.7930
angles: 90.00 90.00 90.00
Space group F-43m (No. 216)
Symmetry-distinct sites (fractional):
Pa 0.0000 0.0000 0.0000 [4 per cell]
In 0.0000 0.0000 0.5000 [4 per cell]
Ru 0.2500 0.2500 0.7500 [4 per cell]
Pt 0.2500 0.2500 0.2500 [4 per cell]


(13)
AlSiAu: optimized geometry, PBE.

Summary:
calculated total energy: -0.149 hartree per atom
magnetic moment: 0.0000 μB/atom

abc: 2.9321 2.9321 11.5981
angles: 90.00 90.00 90.00
Space group I4mm (No. 107)
Symmetry-distinct sites (fractional):
Al 0.0000 0.0000 0.0000 [2 per cell]
Si 0.0000 0.0000 0.3351 [2 per cell]
Au 0.0000 0.0000 0.6583 [2 per cell]


(14)
Rb2TlSn2Se4: optimized geometry, PBE.

Summary:
calculated total energy: -0.131 hartree per atom
magnetic moment: 0.0000 μB/atom

abc: 16.8087 5.4181 7.5080
angles: 90.00 105.12 90.00
Space group C2/m (No. 12)
Symmetry-distinct sites (fractional):
Rb 0.1295 0.0000 0.0623 [4 per cell]
Tl 0.0000 0.0000 0.5000 [2 per cell]
Sn 0.1699 0.5000 0.5283 [4 per cell]
Se 0.0418 0.5000 0.2463 [4 per cell]
Se 0.2038 0.0000 0.6533 [4 per cell]


(15)
CaAg2Os: optimized geometry, PBE.

Summary:
ΔE to the lowest computed polymorph: 10 meV/atom
DFT formation energy: 0.450 eV/atom
magnetic moment: 0.0000 μB/atom

abc: 2.7614 4.5082 5.9909
angles: 90.00 90.00 90.00
Space group Pmm2 (No. 25)
Symmetry-distinct sites (fractional):
Ca 0.0000 0.0000 0.0000 [1 per cell]
Ag 0.0000 0.0000 0.4852 [1 per cell]
Ag 0.5000 0.5000 0.7217 [1 per cell]
Os 0.5000 0.5000 0.2473 [1 per cell]


(16)
Pr8Si3Te4P: optimized geometry, PBE.

Summary:
calculated total energy: -0.212 hartree per atom
magnetic moment: 0.0000 μB/atom

abc: 8.7469 8.7469 22.1624
angles: 90.00 90.00 120.00
Space group R-3m (No. 166, hexagonal axes)
Symmetry-distinct sites (fractional):
Pr 0.0000 0.0000 0.2416 [6 per cell]
Pr 0.0008 0.5004 0.2402 [18 per cell]
Si 0.0000 0.5000 0.5000 [9 per cell]
Te 0.0000 0.0000 0.0000 [3 per cell]
Te 0.0000 0.5000 0.0000 [9 per cell]
P 0.0000 0.0000 0.5000 [3 per cell]


(17)
LiMg2Ag2Hg: optimized geometry, PBE.

Summary:
DFT formation energy: -0.216 eV/atom
magnetic moment: 0.0000 μB/atom

abc: 4.1521 8.9332 6.0769
angles: 90.00 90.00 90.00
Space group Pmc2_1 (No. 26)
Symmetry-distinct sites (fractional):
Li 0.0000 0.1692 0.0000 [2 per cell]
Mg 0.0000 0.1704 0.5196 [2 per cell]
Mg 0.5000 0.3553 0.2420 [2 per cell]
Ag 0.0000 0.4977 0.4960 [2 per cell]
Ag 0.5000 0.3262 0.7571 [2 per cell]
Hg 0.5000 0.0177 0.2531 [2 per cell]


(18)
Dy3YErTm: optimized geometry, PBE.

Summary:
DFT formation energy: 0.208 eV/atom
magnetic moment: 0.0000 μB/atom

abc: 21.9852 5.3926 6.7358
angles: 90.00 98.55 90.00
Space group C2/m (No. 12)
Symmetry-distinct sites (fractional):
Dy 0.0249 0.0000 0.2739 [4 per cell]
Dy 0.1682 0.5000 0.2714 [4 per cell]
Dy 0.2256 0.5000 0.8092 [4 per cell]
Y 0.1312 0.0000 0.9664 [4 per cell]
Er 0.1670 0.0000 0.5262 [4 per cell]
Tm 0.0730 0.5000 0.6544 [4 per cell]


(19)
H3OsF: optimized geometry, PBE.

Summary:
ΔE to the lowest computed polymorph: 0 meV/atom
magnetic moment: 0.4320 μB/atom

abc: 3.4593 3.4593 3.4593
angles: 90.00 90.00 90.00
Space group Pm-3m (No. 221)
Symmetry-distinct sites (fractional):
H 0.0000 0.0000 0.5000 [3 per cell]
Os 0.0000 0.0000 0.0000 [1 per cell]
F 0.5000 0.5000 0.5000 [1 per cell]


(20)
DyErSe: optimized geometry, PBE.

Summary:
ΔE to the lowest computed polymorph: 0 meV/atom
magnetic moment: 0.0079 μB/atom

abc: 3.8228 3.8228 6.5130
angles: 90.00 90.00 120.00
Space group P3m1 (No. 156)
Symmetry-distinct sites (fractional):
Dy 0.0000 0.0000 0.0000 [1 per cell]
Er 0.3333 0.6667 0.5623 [1 per cell]
Se 0.6667 0.3333 0.2837 [1 per cell]


(21)
ScI2NO: optimized geometry, PBE.

Summary:
ΔE to the lowest computed polymorph: 709 meV/atom
magnetic moment: 0.0002 μB/atom

abc: 4.9155 4.9155 3.8604
angles: 90.00 90.00 90.00
Space group P4/mmm (No. 123)
Symmetry-distinct sites (fractional):
Sc 0.0000 0.0000 0.0000 [1 per cell]
I 0.0000 0.5000 0.5000 [2 per cell]
N 0.5000 0.5000 0.5000 [1 per cell]
O 0.5000 0.5000 0.0000 [1 per cell]


(22)
Y2Mn2Co15: optimized geometry, PBE.

Summary:
ΔE to the lowest computed polymorph: 8 meV/atom
DFT formation energy: -0.085 eV/atom
magnetic moment: 1.4992 μB/atom

abc: 8.3353 8.3353 8.1512
angles: 90.00 90.00 120.00
Space group P6_3/mmc (No. 194)
Symmetry-distinct sites (fractional):
Y 0.0000 0.0000 0.2500 [2 per cell]
Y 0.3333 0.6667 0.2500 [2 per cell]
Mn 0.3333 0.6667 0.5974 [4 per cell]
Co 0.0000 0.5000 0.0000 [6 per cell]
Co 0.0474 0.3752 0.7500 [12 per cell]
Co 0.1637 0.3273 0.0215 [12 per cell]


(23)
TbErAg2: optimized geometry, PBE.

Summary:
DFT formation energy: -0.323 eV/atom
magnetic moment: 0.0000 μB/atom

abc: 3.6060 3.6060 7.3460
angles: 90.00 90.00 90.00
Space group P4/mmm (No. 123)
Symmetry-distinct sites (fractional):
Tb 0.0000 0.0000 0.0000 [1 per cell]
Er 0.0000 0.0000 0.5000 [1 per cell]
Ag 0.5000 0.5000 0.2574 [2 per cell]